First-principles (PBE) data for Sm5Zr3H12 after structural relaxation, as listed in Alexandria via LeMat-Bulk.

Structure (CIF):
```
data_Sm5Zr3H12
_chemical_formula_sum 'Sm40 Zr24 H96'
_cell_length_a 12.805
_cell_length_b 12.805
_cell_length_c 12.805
_cell_angle_alpha 90.00
_cell_angle_beta 90.00
_cell_angle_gamma 90.00
_space_group_name_H-M_alt 'I a -3 d'
_space_group_IT_number 230
_space_group_name_Hall '-I 4bd 2c 3'
loop_
_atom_site_label
_atom_site_type_symbol
_atom_site_fract_x
_atom_site_fract_y
_atom_site_fract_z
Sm1 Sm 0.000 0.000 0.000
Sm2 Sm 0.000 0.250 0.375
Zr1 Zr 0.000 0.250 0.125
H1 H 0.005 0.076 0.159
```

## Properties
The crystal system is cubic. The calculation puts the volume at 262.5 Å³/f.u. For the uncorrected energy, the calculation gives -96.91 eV per formula unit. For the density of states at the Fermi level, the calculation gives 0.446 states/eV/atom.